An optimized crystal structure of CoTcPdPb. Source: OQMD, functional PBE.

```
data_CoTcPdPb
_chemical_formula_sum 'Co4 Tc4 Pd4 Pb4'
_cell_length_a 6.377
_cell_length_b 6.377
_cell_length_c 6.377
_cell_angle_alpha 90.00
_cell_angle_beta 90.00
_cell_angle_gamma 90.00
_space_group_name_H-M_alt 'F -4 3 m'
_space_group_IT_number 216
_space_group_name_Hall 'F -4 2 3'
loop_
_atom_site_label
_atom_site_type_symbol
_atom_site_fract_x
_atom_site_fract_y
_atom_site_fract_z
Co1 Co 0.000 0.000 0.000
Tc1 Tc 0.000 0.000 0.500
Pd1 Pd 0.250 0.250 0.250
Pb1 Pb 0.250 0.250 0.750
```

- energy above the lowest structure with this stoichiometry (kJ/mol of formula units) = 0
- crystal system = cubic